Tl2SnAu3 (PBE-GGA, relaxed); E = -3.132 eV per atom; ΔE_f = -0.04 eV per atom; volume = 25.897 Å³/atom; mass density = 12.0 g/cm3; crystal system = orthorhombic
1.0
-1.742 -2.139 -4.804
-0.785 -7.926 3.814
-5.610 5.316 -0.333
Tl Au Sn
4 6 2
direct
0.250 0.473 0.321
0.750 0.527 0.679
0.750 0.848 0.321
0.250 0.152 0.679
0.500 0.834 0.669
0.750 0.453 0.000
0.000 0.166 0.331
0.000 0.834 0.669
0.500 0.166 0.331
0.250 0.547 0.000
0.750 0.148 0.000
0.250 0.852 0.000

***

TlSn2Au3 (PBE-GGA, relaxed); E = -3.452 eV per atom; ΔE_f = -0.08 eV per atom; volume = 24.191 Å³/atom; mass density = 11.8 g/cm3; crystal system = monoclinic
1.0
-2.906 2.766 1.583
-2.771 -2.510 -0.701
2.199 -6.921 16.131
Au Sn Tl
6 4 2
direct
0.750 0.916 0.945
0.250 0.084 0.445
0.750 0.576 0.250
0.250 0.424 0.750
0.750 0.916 0.555
0.250 0.084 0.055
0.250 0.451 0.907
0.250 0.452 0.593
0.750 0.548 0.407
0.750 0.549 0.093
0.250 0.074 0.250
0.750 0.926 0.750

***

TlSn6Au3 (PBE-GGA, relaxed); E = -3.700 eV per atom; ΔE_f = -0.08 eV per atom; volume = 26.773 Å³/atom; mass density = 9.4 g/cm3; crystal system = monoclinic
1.0
4.509 0.000 0.000
0.000 9.316 -5.160
0.000 -3.719 14.808
Sn Au Tl
12 6 2
direct
0.750 0.109 0.175
0.250 0.431 0.387
0.750 0.706 0.868
0.750 0.569 0.613
0.250 0.862 0.541
0.750 0.138 0.459
0.750 0.763 0.344
0.250 0.294 0.132
0.250 0.237 0.656
0.750 0.430 0.034
0.250 0.891 0.825
0.250 0.570 0.966
0.750 0.111 0.979
0.250 0.618 0.190
0.250 0.347 0.527
0.250 0.889 0.021
0.750 0.382 0.810
0.750 0.653 0.473
0.250 0.956 0.251
0.750 0.044 0.749

***

TlSn6Au12 (PBE-GGA, relaxed); E = -3.554 eV per atom; ΔE_f = -0.10 eV per atom; volume = 23.190 Å³/atom; mass density = 12.4 g/cm3; crystal system = trigonal
1.0
-6.407 7.826 2.649
-0.443 -6.480 4.315
0.794 2.866 7.208
Au Sn Tl
12 6 1
direct
0.169 0.059 0.547
0.240 0.730 0.162
0.831 0.941 0.453
0.402 0.162 0.109
0.890 0.606 0.941
0.716 0.547 0.394
0.760 0.270 0.838
0.598 0.838 0.891
0.284 0.453 0.606
0.510 0.109 0.730
0.490 0.891 0.270
0.110 0.394 0.059
0.030 0.296 0.501
0.531 0.501 0.204
0.970 0.704 0.499
0.469 0.499 0.796
0.734 0.204 0.296
0.266 0.796 0.704
0.000 0.000 0.000

***

TlSnAu5 (PBE-GGA, relaxed); E = -3.305 eV per atom; ΔE_f = -0.05 eV per atom; volume = 21.724 Å³/atom; mass density = 14.3 g/cm3; crystal system = orthorhombic
1.0
-0.143 -5.912 -0.180
8.819 -0.156 -1.871
2.358 -0.397 11.149
Sn Tl Au
4 4 20
direct
0.250 0.844 0.848
0.750 0.156 0.152
0.750 0.656 0.348
0.250 0.344 0.652
0.250 0.737 0.551
0.750 0.763 0.051
0.250 0.237 0.949
0.750 0.263 0.449
0.250 0.668 0.287
0.988 0.930 0.298
0.750 0.927 0.521
0.750 0.112 0.916
0.250 0.168 0.213
0.750 0.832 0.787
0.750 0.332 0.713
0.250 0.573 0.021
0.488 0.570 0.798
0.012 0.070 0.702
0.988 0.430 0.202
0.750 0.427 0.979
0.012 0.570 0.798
0.250 0.388 0.416
0.750 0.612 0.584
0.250 0.888 0.084
0.488 0.070 0.702
0.250 0.073 0.479
0.512 0.930 0.298
0.512 0.430 0.202

***

Tl5Sn2Au4 (PBE-GGA, relaxed); E = -2.968 eV per atom; ΔE_f = 0.03 eV per atom; volume = 26.179 Å³/atom; mass density = 11.8 g/cm3; polymorph energy (0 for the lowest one) = 72.7 meV per atom; crystal system = monoclinic
1.0
-2.926 0.769 -1.267
-3.633 -2.148 7.087
4.047 10.478 1.258
Tl Sn Au
5 2 4
direct
0.876 0.718 0.752
0.845 0.092 0.690
0.124 0.282 0.248
0.155 0.908 0.310
0.500 0.000 0.000
0.726 0.649 0.451
0.274 0.351 0.549
0.592 0.552 0.184
0.012 0.689 0.025
0.408 0.448 0.816
0.988 0.311 0.975

***

Tl2Sn9Au4 (PBE-GGA, relaxed); E = -3.662 eV per atom; ΔE_f = -0.07 eV per atom; volume = 27.555 Å³/atom; mass density = 9.1 g/cm3; crystal system = trigonal
1.0
-1.389 -1.928 3.754
2.697 -2.200 -2.762
19.212 8.897 11.677
Sn Au Tl
9 4 2
direct
0.000 0.000 0.853
0.333 0.667 0.953
0.000 0.000 0.147
0.667 0.333 0.047
0.333 0.667 0.575
0.000 0.000 0.675
0.000 0.000 0.500
0.667 0.333 0.425
0.000 0.000 0.325
0.333 0.667 0.371
0.667 0.333 0.900
0.667 0.333 0.629
0.333 0.667 0.100
0.333 0.667 0.766
0.667 0.333 0.234

***

TlSn2Au (PBE-GGA, relaxed); E = -3.515 eV per atom; ΔE_f = -0.10 eV per atom; volume = 26.668 Å³/atom; mass density = 9.9 g/cm3; polymorph energy (0 for the lowest one) = 0.0 meV per atom; crystal system = monoclinic
1.0
-3.553 2.775 0.671
-0.658 -3.238 -5.515
-3.728 -5.687 3.784
Tl Sn Au
2 4 2
direct
0.057 0.119 0.750
0.943 0.881 0.250
0.361 0.717 0.539
0.639 0.283 0.461
0.639 0.283 0.039
0.361 0.717 0.961
0.201 0.409 0.250
0.799 0.591 0.750